LiW2: optimized geometry, PBE-GGA.

Cell and atoms, written as extended XYZ:
```
3
Lattice="-3.079 -0.835 3.126 3.161 -3.028 -0.886 1.558 1.092 1.827" Properties=species:S:1:pos:R:3 pbc="T T T"
W 2.131 -1.561 1.682
W -0.491 -1.210 2.384
Li -3.079 -0.835 3.126
```

Excess energy over the best structure of this formula in the dataset   0.000 eV/atom
Energy of formation from the pure elements   0.363 eV per atom

Na7Sr: optimized geometry, PBE-GGA.

Cell and atoms, written as extended XYZ:
```
8
Lattice="-1.953 6.236 -4.078 -1.955 -0.705 -7.417 -7.316 1.046 -2.171" Properties=species:S:1:pos:R:3 pbc="T T T"
Na -4.635 3.641 -3.124
Na -3.658 0.523 -1.086
Na -5.612 3.289 -6.833
Na -0.976 3.118 -2.039
Na -4.635 0.171 -4.794
Na -0.977 -0.352 -3.709
Na -1.954 2.766 -5.747
Sr 0.000 0.000 0.000
```

Excess energy over the best structure of this formula in the dataset   0.014 eV/atom
Energy of formation from the pure elements   0.043 eV per atom

LiTa2NbO: optimized geometry, PBE-GGA.

Cell and atoms, written as extended XYZ:
```
5
Lattice="4.208 0.000 0.000 0.000 4.338 0.000 0.000 0.000 4.208" Properties=species:S:1:pos:R:3 pbc="T T T"
Ta 2.104 0.000 0.000
Ta 0.000 0.000 2.104
O 0.000 0.000 0.000
Nb 0.000 2.169 0.000
Li 2.104 2.169 2.104
```

YBeHgPt2: optimized geometry, PBE-GGA.

Cell and atoms, written as extended XYZ:
```
5
Lattice="-4.343 1.090 -0.261 -0.544 -1.138 4.304 0.992 4.253 1.250" Properties=species:S:1:pos:R:3 pbc="T T T"
Pt -2.171 0.545 -0.130
Pt -0.272 -0.569 2.152
Y -1.947 2.102 2.647
Hg 0.496 2.127 0.625
Be 0.000 0.000 0.000
```

Energy of formation from the pure elements   -0.502 eV per atom

Number 1: final energy -8.91 eV per atom, calculated volume 15.187 A^3/atom. Number 2: final energy -1.32 eV per atom, calculated volume 40.396 A^3/atom. Number 3: final energy -8.47 eV per atom, calculated volume 15.360 A^3/atom. Number 4: final energy -5.02 eV per atom, calculated volume 18.274 A^3/atom.